# RbFeO2, relaxed, DFT PBE with a Hubbard U
# - raw total energy (eV/atom) = -5.63
# - V (Å³ per atom) = 18.42
data_RbFeO2
_cell_length_a 5.949
_cell_length_b 5.949
_cell_length_c 8.327
_cell_angle_alpha 90.00
_cell_angle_beta 90.00
_cell_angle_gamma 90.00
_space_group_name_H-M_alt 'P 41 21 2'
_space_group_IT_number 92
_space_group_name_Hall 'P 4abw 2nw'
loop_
_atom_site_label
_atom_site_type_symbol
_atom_site_fract_x
_atom_site_fract_y
_atom_site_fract_z
Rb1 Rb 0.223 0.223 0.000
Fe1 Fe 0.212 0.212 0.500
O1 O 0.094 0.756 0.929